A plane-wave DFT calculation with PBE was carried out for a geometry-optimized CaNd4Ni structure.

Results
- total DFT energy (no corrections) (eV/atom) = -4.501

Cell and atoms, written as POSCAR:
```
CaNd4Ni
1.0
-3.137 3.749 8.462
3.137 -3.749 8.462
3.137 3.749 -8.462
Ca Nd Ni
2 8 2
direct
0.197 0.197 0.000
0.803 0.803 0.000
0.143 0.389 0.754
0.245 0.000 0.245
0.324 0.824 0.500
0.364 0.611 0.754
0.636 0.389 0.246
0.676 0.176 0.500
0.755 0.000 0.755
0.857 0.611 0.246
0.500 0.304 0.804
0.500 0.696 0.196
```

---

A plane-wave DFT calculation with PBE was carried out for a geometry-optimized AlZn structure.

Results
- total DFT energy (no corrections) (eV/atom) = -2.454

Cell and atoms, written as POSCAR:
```
AlZn
1.0
2.861 0.000 0.000
0.000 4.244 0.000
-1.326 0.000 5.279
Al Zn
2 2
direct
0.169 0.250 0.343
0.831 0.750 0.657
0.423 0.250 0.851
0.577 0.750 0.149
```

---

A plane-wave DFT calculation with PBE was carried out for a geometry-optimized CrRuSe2 structure.

Results
- energy above the most stable polymorph in this dataset (meV per atom) = 323
- E_form (uncorrected) (eV/atom) = 0.051

Cell and atoms, written as POSCAR:
```
CrRuSe2
1.0
-2.749 2.749 5.812
2.749 -2.749 5.812
2.749 2.749 -5.812
Cr Ru Se
2 2 4
direct
0.000 0.000 0.000
0.750 0.250 0.500
0.250 0.750 0.500
0.500 0.500 0.000
0.133 0.625 0.008
0.375 0.383 0.508
0.617 0.125 0.992
0.875 0.867 0.492
```

---

A plane-wave DFT calculation with PBE was carried out for a geometry-optimized TaPOs2 structure.

Results
- total DFT energy (no corrections) (eV/atom) = -9.889

Cell and atoms, written as POSCAR:
```
TaPOs2
1.0
1.442 0.833 8.229
-1.442 0.833 8.229
0.000 -1.665 8.229
Ta P Os
1 1 2
direct
0.000 0.000 0.000
0.500 0.500 0.500
0.241 0.241 0.241
0.759 0.759 0.759
```

---

| no. | total magnetic moment (μB per formula unit) | D(E_F) (states/eV/cell) |
| --- | --- | --- |
| 1 | 0.00 | 17.1 |
| 2 | 0.00 | 0.6 |
| 3 | 3.12 | 5.9 |
| 4 | 0.00 | 4.1 |